Entry 1:
# Cd2SiHgOs PBE relaxed
# DOS(E_F): 0.690 states/eV per atom
# DFT total energy: -16.859 eV/cell
# total magnetization: 0.0 Bohr magnetons per cell
data_Cd2SiHgOs
_chemical_formula_sum 'Cd2 Si1 Hg1 Os1'
_cell_length_a 5.333
_cell_length_b 5.333
_cell_length_c 4.526
_cell_angle_alpha 90.00
_cell_angle_beta 90.00
_cell_angle_gamma 90.00
_space_group_name_H-M_alt 'P 4/m m m'
_space_group_IT_number 123
_space_group_name_Hall '-P 4 2'
loop_
_atom_site_label
_atom_site_type_symbol
_atom_site_fract_x
_atom_site_fract_y
_atom_site_fract_z
Cd1 Cd 0.000 0.500 0.000
Si1 Si 0.000 0.000 0.500
Hg1 Hg 0.500 0.500 0.500
Os1 Os 0.000 0.000 0.000

Entry 2:
# TlCdHgOs2 PBE relaxed
# DOS(E_F): 1.499 states/eV per atom
# total magnetization: 3.6 Bohr magnetons per cell
# E_form: 2.285 eV/atom
data_TlCdHgOs2
_chemical_formula_sum 'Tl1 Cd1 Hg1 Os2'
_cell_length_a 5.083
_cell_length_b 5.083
_cell_length_c 5.536
_cell_angle_alpha 90.00
_cell_angle_beta 90.00
_cell_angle_gamma 90.00
_space_group_name_H-M_alt 'P 4/m m m'
_space_group_IT_number 123
_space_group_name_Hall '-P 4 2'
loop_
_atom_site_label
_atom_site_type_symbol
_atom_site_fract_x
_atom_site_fract_y
_atom_site_fract_z
Tl1 Tl 0.000 0.000 0.000
Cd1 Cd 0.500 0.500 0.000
Hg1 Hg 0.000 0.000 0.500
Os1 Os 0.000 0.500 0.500

Entry 3:
# ZnCdHg2Os PBE relaxed
# DOS(E_F): 0.787 states/eV per atom
# total magnetization: 2.8 Bohr magnetons per cell
# E_form: 1.358 eV/atom
data_ZnCdHg2Os
_chemical_formula_sum 'Zn1 Cd1 Hg2 Os1'
_cell_length_a 4.947
_cell_length_b 4.947
_cell_length_c 4.991
_cell_angle_alpha 90.00
_cell_angle_beta 90.00
_cell_angle_gamma 90.00
_space_group_name_H-M_alt 'P 4/m m m'
_space_group_IT_number 123
_space_group_name_Hall '-P 4 2'
loop_
_atom_site_label
_atom_site_type_symbol
_atom_site_fract_x
_atom_site_fract_y
_atom_site_fract_z
Zn1 Zn 0.000 0.000 0.000
Cd1 Cd 0.000 0.000 0.500
Hg1 Hg 0.000 0.500 0.000
Os1 Os 0.500 0.500 0.500

Entry 4:
# CdHgP PBE relaxed
# DOS(E_F): 0.618 states/eV per atom
# offset from the most stable computed form: 195.5 meV/atom
# total magnetization: 0.0 Bohr magnetons per cell
# E_form: 0.237 eV/atom
data_CdHgP
_chemical_formula_sum 'Cd4 Hg4 P4'
_cell_length_a 6.578
_cell_length_b 6.578
_cell_length_c 6.578
_cell_angle_alpha 90.00
_cell_angle_beta 90.00
_cell_angle_gamma 90.00
_space_group_name_H-M_alt 'F -4 3 m'
_space_group_IT_number 216
_space_group_name_Hall 'F -4 2 3'
loop_
_atom_site_label
_atom_site_type_symbol
_atom_site_fract_x
_atom_site_fract_y
_atom_site_fract_z
Cd1 Cd 0.000 0.000 0.000
Hg1 Hg 0.000 0.000 0.500
P1 P 0.250 0.250 0.750

Entry 5:
# CdHgP PBE relaxed
# DOS(E_F): 0.596 states/eV per atom
# offset from the most stable computed form: 210.6 meV/atom
# total magnetization: 0.0 Bohr magnetons per cell
# E_form: 0.252 eV/atom
data_CdHgP
_chemical_formula_sum 'Cd2 Hg2 P2'
_cell_length_a 3.754
_cell_length_b 3.754
_cell_length_c 11.607
_cell_angle_alpha 90.00
_cell_angle_beta 90.00
_cell_angle_gamma 90.00
_space_group_name_H-M_alt 'I 4 m m'
_space_group_IT_number 107
_space_group_name_Hall 'I 4 -2'
loop_
_atom_site_label
_atom_site_type_symbol
_atom_site_fract_x
_atom_site_fract_y
_atom_site_fract_z
Cd1 Cd 0.000 0.000 0.000
Hg1 Hg 0.000 0.000 0.242
P1 P 0.000 0.000 0.464

Entry 6:
# CdHgP PBE relaxed
# DOS(E_F): 0.346 states/eV per atom
# offset from the most stable computed form: 348.0 meV/atom
# total magnetization: 0.0 Bohr magnetons per cell
# E_form: 0.389 eV/atom
data_CdHgP
_chemical_formula_sum 'Cd4 Hg4 P4'
_cell_length_a 3.983
_cell_length_b 5.175
_cell_length_c 12.592
_cell_angle_alpha 90.00
_cell_angle_beta 90.00
_cell_angle_gamma 90.00
_space_group_name_H-M_alt 'F m m 2'
_space_group_IT_number 42
_space_group_name_Hall 'F 2 -2'
loop_
_atom_site_label
_atom_site_type_symbol
_atom_site_fract_x
_atom_site_fract_y
_atom_site_fract_z
Cd1 Cd 0.000 0.000 0.000
Hg1 Hg 0.000 0.000 0.315
P1 P 0.000 0.000 0.645